[1]
A plane-wave DFT calculation with PBE was carried out for crystalline PaTiZnCr at its relaxed geometry.

Unit cell a=4.5694 b=4.5694 c=4.5694 alpha=60.00 beta=60.00 gamma=60.00
Last column: nearest neighbours and their distance in Å.
Positions (direct):
1 Cr 0.2500 0.2500 0.2500  4 Pa 2.80, 4 Zn 2.80
2 Pa 0.0000 0.0000 0.0000  4 Cr 2.80, 4 Ti 2.80
3 Ti 0.7500 0.7500 0.7500  4 Pa 2.80, 4 Zn 2.80
4 Zn 0.5000 0.5000 0.5000  4 Ti 2.80, 4 Cr 2.80

N(E_F): 4.39 states/eV per cell
Magnetic moment: 0.931 μB/f.u.
Volume: 16.865 Å³/atom
Electronic total energy: -27.82 eV for the cell shown

=====

[2]
A plane-wave DFT calculation with PBE was carried out for crystalline TmPaCr4 at its relaxed geometry.

Unit cell a=5.1440 b=5.1440 c=5.1440 alpha=60.00 beta=60.00 gamma=60.00
Last column: nearest neighbours and their distance in Å.
Positions (direct):
1 Cr 0.6242 0.6242 0.1273  6 Cr 2.56-2.59
2 Cr 0.6242 0.6242 0.6242  6 Cr 2.56-2.59
3 Cr 0.6242 0.1273 0.6242  6 Cr 2.56-2.59
4 Cr 0.1273 0.6242 0.6242  6 Cr 2.56-2.59
5 Pa 0.2500 0.2500 0.2500  12 Cr 3.01, 4 Tm 3.15
6 Tm 0.0000 0.0000 0.0000  12 Cr 3.02, 4 Pa 3.15

N(E_F): 4.92 states/eV per cell
Magnetic moment: 0.000 μB/f.u.
Volume: 16.041 Å³/atom
Electronic total energy: -51.17 eV for the cell shown

=====

[3]
A plane-wave DFT calculation with PBE was carried out for crystalline U2PaCr at its relaxed geometry.

Unit cell a=4.4497 b=4.4497 c=5.1665 alpha=64.49 beta=64.49 gamma=60.00
Last column: nearest neighbours and their distance in Å.
Positions (direct):
1 U 0.7427 0.7427 0.7720  3 Cr 2.76, 3 Pa 2.84
2 U 0.2573 0.2573 0.2280  3 Cr 2.76, 3 Pa 2.84
3 Cr 0.0000 0.0000 0.0000  6 U 2.76
4 Pa 0.5000 0.5000 0.5000  6 U 2.84

N(E_F): 9.12 states/eV per cell
Magnetic moment: 0.002 μB/f.u.
Volume: 19.215 Å³/atom
Electronic total energy: -40.14 eV for the cell shown

=====

[4]
A plane-wave DFT calculation with PBE was carried out for crystalline UPaCr4 at its relaxed geometry.

Unit cell a=5.0701 b=5.0701 c=5.0701 alpha=60.00 beta=60.00 gamma=60.00
Last column: nearest neighbours and their distance in Å.
Positions (direct):
1 Pa 0.0000 0.0000 0.0000  12 Cr 2.97, 4 U 3.10
2 Cr 0.6250 0.6250 0.1250  6 Cr 2.53-2.54
3 Cr 0.6250 0.6250 0.6250  6 Cr 2.53-2.54
4 Cr 0.6250 0.1250 0.6250  6 Cr 2.53-2.54
5 Cr 0.1250 0.6250 0.6250  6 Cr 2.53-2.54
6 U 0.2500 0.2500 0.2500  12 Cr 2.97, 4 Pa 3.10

N(E_F): 8.96 states/eV per cell
Magnetic moment: 0.000 μB/f.u.
Volume: 15.359 Å³/atom
Electronic total energy: -58.28 eV for the cell shown

=====

[5]
A plane-wave DFT calculation with PBE was carried out for crystalline UPa2Cr at its relaxed geometry.

Unit cell a=3.0417 b=3.0417 c=10.3480 alpha=81.55 beta=81.55 gamma=60.00
Last column: nearest neighbours and their distance in Å.
Positions (direct):
1 Cr 0.5000 0.5000 0.5000  6 Pa 2.80, 6 Cr 3.04
2 Pa 0.0952 0.0952 0.7144  3 Cr 2.80, 1 U 2.91, 6 Pa 3.04
3 Pa 0.9048 0.9048 0.2856  3 Cr 2.80, 1 U 2.91, 6 Pa 3.04
4 U 0.0000 0.0000 0.0000  2 Pa 2.91, 6 U 3.04

N(E_F): 7.18 states/eV per cell
Magnetic moment: 0.001 μB/f.u.
Volume: 20.427 Å³/atom
Electronic total energy: -38.14 eV for the cell shown

=====

[6]
A plane-wave DFT calculation with PBE was carried out for crystalline UPaCr at its relaxed geometry.

Unit cell a=3.3433 b=3.3433 c=10.9811 alpha=98.76 beta=98.76 gamma=90.00
Last column: nearest neighbours and their distance in Å.
Positions (direct):
1 Cr 0.5580 0.5580 0.1160  1 Cr 2.49, 4 U 2.53
2 Cr 0.4420 0.4420 0.8840  1 Cr 2.49, 4 U 2.53
3 U 0.8995 0.8995 0.7990  4 Cr 2.53
4 U 0.1005 0.1005 0.2010  4 Cr 2.53
5 Pa 0.3055 0.3055 0.6109  1 Cr 2.93, 4 U 3.11
6 Pa 0.6945 0.6945 0.3891  1 Cr 2.93, 4 U 3.11

N(E_F): 7.90 states/eV per cell
Magnetic moment: 0.000 μB/f.u.
Volume: 19.978 Å³/atom
Electronic total energy: -58.46 eV for the cell shown

=====

[7]
A plane-wave DFT calculation with PBE was carried out for crystalline PaVCr at its relaxed geometry.

Unit cell a=4.3625 b=4.3625 c=2.9140 alpha=90.00 beta=90.00 gamma=120.00
Last column: nearest neighbours and their distance in Å.
Positions (direct):
1 V 0.6667 0.3333 0.3583  3 Pa 2.68, 3 Cr 2.77, 2 V 2.91
2 Pa 0.3333 0.6667 0.6765  3 Cr 2.66, 3 V 2.68, 2 Pa 2.91
3 Cr 0.0000 0.0000 0.9652  3 Pa 2.66, 3 V 2.77, 2 Cr 2.91

N(E_F): 3.88 states/eV per cell
Offset from the most stable computed form: 0.0000 eV per atom
Magnetic moment: 0.001 μB/f.u.
Volume: 16.009 Å³/atom
Electronic total energy: -27.52 eV for the cell shown

=====

[8]
A plane-wave DFT calculation with PBE was carried out for crystalline Pa2VCr at its relaxed geometry.

Unit cell a=3.3438 b=4.8295 c=4.8295 alpha=90.00 beta=90.00 gamma=90.00
Last column: nearest neighbours and their distance in Å.
Positions (direct):
1 Pa 0.0000 0.0000 0.5000  4 Cr 2.94, 4 V 2.94
2 Pa 0.0000 0.5000 0.0000  4 V 2.94, 4 Cr 2.94
3 Cr 0.5000 0.5000 0.5000  8 Pa 2.94
4 V 0.5000 0.0000 0.0000  8 Pa 2.94

N(E_F): 8.38 states/eV per cell
Offset from the most stable computed form: 0.0000 eV per atom
Magnetic moment: 1.068 μB/f.u.
Volume: 19.497 Å³/atom
Electronic total energy: -36.12 eV for the cell shown

=====

[9]
A plane-wave DFT calculation with PBE was carried out for crystalline PaV2Cr at its relaxed geometry.

Unit cell a=3.8132 b=3.8132 c=5.9680 alpha=71.37 beta=71.37 gamma=60.00
Last column: nearest neighbours and their distance in Å.
Positions (direct):
1 V 0.2853 0.2853 0.1441  3 Cr 2.34
2 V 0.7147 0.7147 0.8559  3 Cr 2.34
3 Pa 0.5000 0.5000 0.5000  6 V 2.96
4 Cr 0.0000 0.0000 0.0000  6 V 2.34

N(E_F): 3.71 states/eV per cell
Offset from the most stable computed form: 0.2753 eV per atom
Magnetic moment: 0.000 μB/f.u.
Volume: 17.463 Å³/atom
Electronic total energy: -35.73 eV for the cell shown

=====

[10]
A plane-wave DFT calculation with PBE was carried out for crystalline PaV2Cr at its relaxed geometry.

Unit cell a=4.4128 b=4.4128 c=4.4128 alpha=60.00 beta=60.00 gamma=60.00
Last column: nearest neighbours and their distance in Å.
Positions (direct):
1 Pa 0.0000 0.0000 0.0000  8 V 2.70
2 V 0.2500 0.2500 0.2500  4 Cr 2.70, 4 Pa 2.70
3 V 0.7500 0.7500 0.7500  4 Pa 2.70, 4 Cr 2.70
4 Cr 0.5000 0.5000 0.5000  8 V 2.70

N(E_F): 4.04 states/eV per cell
Offset from the most stable computed form: 0.0000 eV per atom
Magnetic moment: 0.003 μB/f.u.
Volume: 15.191 Å³/atom
Electronic total energy: -36.83 eV for the cell shown

=====

[11]
A plane-wave DFT calculation with PBE was carried out for crystalline PaVCr2 at its relaxed geometry.

Unit cell a=3.1615 b=3.1615 c=6.1450 alpha=90.00 beta=90.00 gamma=90.00
Last column: nearest neighbours and their distance in Å.
Positions (direct):
1 Cr 0.0000 0.0000 0.2325  4 V 2.65, 4 Pa 2.77, 1 Cr 2.86
2 Cr 0.0000 0.0000 0.7675  4 V 2.65, 4 Pa 2.77, 1 Cr 2.86
3 Pa 0.5000 0.5000 0.5000  8 Cr 2.77, 2 V 3.07
4 V 0.5000 0.5000 0.0000  8 Cr 2.65

N(E_F): 5.40 states/eV per cell
Offset from the most stable computed form: 0.1396 eV per atom
Magnetic moment: 0.308 μB/f.u.
Volume: 15.355 Å³/atom
Electronic total energy: -36.64 eV for the cell shown

=====

[12]
A plane-wave DFT calculation with PBE was carried out for crystalline PaVCr4 at its relaxed geometry.

Unit cell a=4.9735 b=4.9735 c=4.9735 alpha=60.00 beta=60.00 gamma=60.00
Last column: nearest neighbours and their distance in Å.
Positions (direct):
1 V 0.0000 0.0000 0.0000  12 Cr 2.92, 4 Pa 3.05
2 Cr 0.1243 0.6252 0.6252  6 Cr 2.48-2.49
3 Cr 0.6252 0.6252 0.1243  6 Cr 2.48-2.49
4 Cr 0.6252 0.1243 0.6252  6 Cr 2.48-2.49
5 Cr 0.6252 0.6252 0.6252  6 Cr 2.48-2.49
6 Pa 0.2500 0.2500 0.2500  12 Cr 2.92, 4 V 3.05

N(E_F): 9.70 states/eV per cell
Magnetic moment: 1.243 μB/f.u.
Volume: 14.498 Å³/atom
Electronic total energy: -55.60 eV for the cell shown

=====

Which of these has the highest N(E_F)?
PaVCr4

=====

Which value of magnetic moment does entry 5 give?
0.001 μB/f.u.

=====

Repeat the fifth record exactly.
A plane-wave DFT calculation with PBE was carried out for crystalline UPa2Cr at its relaxed geometry.

Unit cell a=3.0417 b=3.0417 c=10.3480 alpha=81.55 beta=81.55 gamma=60.00
Last column: nearest neighbours and their distance in Å.
Positions (direct):
1 Cr 0.5000 0.5000 0.5000  6 Pa 2.80, 6 Cr 3.04
2 Pa 0.0952 0.0952 0.7144  3 Cr 2.80, 1 U 2.91, 6 Pa 3.04
3 Pa 0.9048 0.9048 0.2856  3 Cr 2.80, 1 U 2.91, 6 Pa 3.04
4 U 0.0000 0.0000 0.0000  2 Pa 2.91, 6 U 3.04

N(E_F): 7.18 states/eV per cell
Magnetic moment: 0.001 μB/f.u.
Volume: 20.427 Å³/atom
Electronic total energy: -38.14 eV for the cell shown